Computed, not measured: an optimized crystal structure of PrDy2Mg3Ir2Pd at the PBE-GGA level of DFT. Values from VASP.

Structure (Quantum ESPRESSO input):
```
&SYSTEM
  ibrav = 0, nat = 9, ntyp = 5
/
ATOMIC_SPECIES
Mg 24.30 Mg.upf
Dy 162.50 Dy.upf
Ir 192.22 Ir.upf
Pd 106.42 Pd.upf
Pr 140.91 Pr.upf
CELL_PARAMETERS angstrom
4.0488 0.0000 0.0000
0.0000 6.4583 3.6916
0.0000 -6.4583 3.6916
ATOMIC_POSITIONS crystal
Mg 0.5000 0.0029 0.7529
Dy 0.0000 0.0001 0.4155
Ir 0.5000 0.6695 0.3263
Mg 0.5000 0.7529 0.0029
Pd 0.0000 0.0060 0.0060
Ir 0.5000 0.3263 0.6695
Dy 0.0000 0.4155 0.0001
Pr 0.0000 0.5812 0.5812
Mg 0.5000 0.2455 0.2455
```

The value obtained for the total energy is -47.5 eV for the cell shown. The value obtained for the theoretical density is 8.9 Mg/m³.